KLaNbCrO6 | PBE with a Hubbard U | relaxed

Lattice parameters (Å, degrees): 7.986 7.986 7.986 90.00 90.00 90.00
Space group F-43m (No. 216)
Unique sites:
K1 0.000 0.000 0.000 (multiplicity 4)
La1 0.000 0.000 0.500 (multiplicity 4)
Nb1 0.250 0.250 0.750 (multiplicity 4)
Cr1 0.250 0.250 0.250 (multiplicity 4)
O1 0.000 0.250 0.250 (multiplicity 24)

Results
Crystal system: cubic
Calculated total energy, eV per atom: -7.88
Total moment, μB/atom: 0.300